(1)
Density functional theory data (GGA-PBE) for a relaxed structure of Ca2SnGe.

Calculated values
- SG = I-42d (122)
- formation energy (eV per atom) = -0.215
- electronic total energy (eV for the cell shown) = -53.9

Cell: 8.356 8.356 6.584 Å, 90.00 90.00 90.00°
Fractional positions:
Ca  0.227  0.750  0.125
Ca  0.250  0.227  0.875
Ca  0.250  0.273  0.375
Ca  0.273  0.750  0.625
Ca  0.727  0.250  0.625
Ca  0.750  0.727  0.375
Ca  0.750  0.773  0.875
Ca  0.773  0.250  0.125
Sn  0.000  0.000  0.500
Sn  0.000  0.500  0.750
Sn  0.500  0.000  0.250
Sn  0.500  0.500  0.000
Ge  0.000  0.000  0.000
Ge  0.000  0.500  0.250
Ge  0.500  0.000  0.750
Ge  0.500  0.500  0.500

(2)
Density functional theory data (GGA-PBE) for a relaxed structure of CsSiP2S.

Calculated values
- raw formation energy (eV/f.u.) = 1.5
- SG = P4/mmm (123)
- electronic total energy (eV for the cell shown) = -19.7

Cell: 4.756 4.756 4.998 Å, 90.00 90.00 90.00°
Fractional positions:
Cs  0.000  0.000  0.000
Si  0.500  0.500  0.500
P  0.000  0.500  0.500
P  0.500  0.000  0.500
S  0.500  0.500  0.000

(3)
Density functional theory data (GGA-PBE) for a relaxed structure of Tb3Tm3Cd.

Calculated values
- SG = P2_1/m (11)
- formation energy (eV per atom) = -0.028
- electronic total energy (eV for the cell shown) = -56.8

Cell: 9.283 5.523 9.298 Å, 90.00 119.94 90.00°
Fractional positions:
Tb  0.065  0.250  0.246
Tb  0.182  0.250  0.935
Tb  0.247  0.750  0.181
Tb  0.753  0.250  0.819
Tb  0.818  0.750  0.065
Tb  0.935  0.750  0.754
Tm  0.107  0.750  0.482
Tm  0.375  0.750  0.892
Tm  0.482  0.250  0.375
Tm  0.518  0.750  0.625
Tm  0.625  0.250  0.108
Tm  0.893  0.250  0.518
Cd  0.333  0.250  0.666
Cd  0.667  0.750  0.334

(4)
Density functional theory data (GGA-PBE) for a relaxed structure of Sb5Ru3.

Calculated values
- raw formation energy (eV/f.u.) = 2.6
- SG = Cmmm (65)
- electronic total energy (eV for the cell shown) = -91.7

Cell: 7.512 9.647 4.494 Å, 90.00 90.00 90.00°
Fractional positions:
Sb  0.000  0.000  0.000
Sb  0.210  0.500  0.500
Sb  0.250  0.250  0.000
Sb  0.250  0.750  0.000
Sb  0.290  0.000  0.500
Sb  0.500  0.500  0.000
Sb  0.710  0.000  0.500
Sb  0.750  0.250  0.000
Sb  0.750  0.750  0.000
Sb  0.790  0.500  0.500
Ru  0.000  0.273  0.500
Ru  0.000  0.500  0.000
Ru  0.000  0.727  0.500
Ru  0.500  0.000  0.000
Ru  0.500  0.227  0.500
Ru  0.500  0.773  0.500

(5)
Density functional theory data (GGA-PBE) for a relaxed structure of TlBiN2.

Calculated values
- raw formation energy (eV/f.u.) = 5.9
- SG = Fm-3m (225)
- electronic total energy (eV for the cell shown) = -68.0

Cell: 6.303 6.303 6.303 Å, 90.00 90.00 90.00°
Fractional positions:
Tl  0.000  0.000  0.000
Tl  0.000  0.500  0.500
Tl  0.500  0.000  0.500
Tl  0.500  0.500  0.000
Bi  0.000  0.000  0.500
Bi  0.000  0.500  0.000
Bi  0.500  0.000  0.000
Bi  0.500  0.500  0.500
N  0.250  0.250  0.250
N  0.250  0.250  0.750
N  0.250  0.750  0.250
N  0.250  0.750  0.750
N  0.750  0.250  0.250
N  0.750  0.250  0.750
N  0.750  0.750  0.250
N  0.750  0.750  0.750

(6)
Density functional theory data (GGA-PBE) for a relaxed structure of CaNd3Pd12.

Calculated values
- SG = P4/mmm (123)
- formation energy (eV per atom) = -0.698
- electronic total energy (eV for the cell shown) = -89.8

Cell: 4.175 4.175 16.813 Å, 90.00 90.00 90.00°
Fractional positions:
Ca  0.000  0.000  0.000
Nd  0.000  0.000  0.247
Nd  0.000  0.000  0.500
Nd  0.000  0.000  0.753
Pd  0.000  0.500  0.123
Pd  0.000  0.500  0.374
Pd  0.000  0.500  0.626
Pd  0.000  0.500  0.877
Pd  0.500  0.000  0.123
Pd  0.500  0.000  0.374
Pd  0.500  0.000  0.626
Pd  0.500  0.000  0.877
Pd  0.500  0.500  0.000
Pd  0.500  0.500  0.249
Pd  0.500  0.500  0.500
Pd  0.500  0.500  0.751